1.
A relaxed structure of ZnSbPb. Source: Alexandria, functional PBE.

Calculated values
Formation energy from raw total energies: 0.409 eV/f.u.
SG: Imm2, No. 44

a = 6.3826 Å, b = 6.3826 Å, c = 6.3826 Å
α = 149.45°, β = 144.21°, γ = 47.75°
Fractional coordinates of all 3 atoms:
Zn 0.0000 0.0000 0.0000
Sb 0.6208 0.6208 0.0000
Pb 0.3342 0.3342 0.0000

=====

2.
A relaxed structure of ZnSbPb. Source: Alexandria, functional PBE.

Calculated values
Formation energy from raw total energies: 0.188 eV/f.u.
SG: P3m1, No. 156

a = 4.4007 Å, b = 4.4007 Å, c = 4.8667 Å
α = 90.00°, β = 90.00°, γ = 120.00°
Fractional coordinates of all 3 atoms:
Zn 0.0000 0.0000 0.0000
Sb 0.3333 0.6667 0.8070
Pb 0.6667 0.3333 0.3771

=====

3.
A relaxed structure of ZnSb3Pb. Source: Alexandria, functional PBE.

Calculated values
Relative energy among the computed polymorphs: 59.97 kJ/mol of atoms
Formation energy from raw total energies: 5.108 eV/f.u.
SG: Pm-3m, No. 221

a = 5.8418 Å, b = 5.8418 Å, c = 5.8418 Å
α = 90.00°, β = 90.00°, γ = 90.00°
Fractional coordinates of all 5 atoms:
Zn 0.0000 0.0000 0.0000
Sb 0.0000 0.5000 0.5000
Sb 0.5000 0.0000 0.5000
Sb 0.5000 0.5000 0.0000
Pb 0.5000 0.5000 0.5000

=====

4.
A relaxed structure of ZnSbPb. Source: Alexandria, functional PBE.

Calculated values
Formation energy from raw total energies: 0.410 eV/f.u.
SG: Fmm2, No. 42

a = 6.6899 Å, b = 6.5645 Å, c = 3.5585 Å
α = 76.38°, β = 72.49°, γ = 31.13°
Fractional coordinates of all 3 atoms:
Zn 0.0000 0.0000 0.0000
Sb 0.6283 0.6283 0.3717
Pb 0.3453 0.3453 0.6547

=====

5.
A relaxed structure of Zn2SbPb. Source: Alexandria, functional PBE.

Calculated values
Relative energy among the computed polymorphs: 8.80 kJ/mol of atoms
Formation energy from raw total energies: 0.755 eV/f.u.
SG: Cmmm, No. 65

a = 3.4297 Å, b = 3.4297 Å, c = 8.1863 Å
α = 90.00°, β = 90.00°, γ = 102.05°
Fractional coordinates of all 4 atoms:
Zn 0.0000 0.0000 0.2390
Zn 0.0000 0.0000 0.7610
Sb 0.5000 0.5000 0.0000
Pb 0.5000 0.5000 0.5000

=====

6.
A relaxed structure of Zn2SbPb. Source: Alexandria, functional PBE.

Calculated values
Relative energy among the computed polymorphs: 6.45 kJ/mol of atoms
Formation energy from raw total energies: 0.658 eV/f.u.
SG: P2/m, No. 10

a = 3.4427 Å, b = 4.0850 Å, c = 6.8107 Å
α = 90.00°, β = 100.13°, γ = 90.00°
Fractional coordinates of all 4 atoms:
Zn 0.0087 0.0000 0.2204
Zn 0.9913 0.0000 0.7796
Sb 0.5000 0.5000 0.0000
Pb 0.5000 0.5000 0.5000

=====

7.
A relaxed structure of Zn2SbPb. Source: Alexandria, functional PBE.

Calculated values
Relative energy among the computed polymorphs: 7.26 kJ/mol of atoms
Formation energy from raw total energies: 0.691 eV/f.u.
SG: Imm2, No. 44

a = 6.0495 Å, b = 6.0495 Å, c = 6.0495 Å
α = 147.95°, β = 126.18°, γ = 64.03°
Fractional coordinates of all 4 atoms:
Zn 0.0000 0.0000 0.0000
Zn 0.8015 0.3015 0.5000
Sb 0.5642 0.5642 0.0000
Pb 0.2624 0.7624 0.5000

=====

8.
A relaxed structure of Zn2SbPb. Source: Alexandria, functional PBE.

Calculated values
Relative energy among the computed polymorphs: 8.11 kJ/mol of atoms
Formation energy from raw total energies: 0.726 eV/f.u.
SG: P4/mmm, No. 123

a = 3.5732 Å, b = 3.5732 Å, c = 7.2852 Å
α = 90.00°, β = 90.00°, γ = 90.00°
Fractional coordinates of all 4 atoms:
Zn 0.0000 0.0000 0.2208
Zn 0.0000 0.0000 0.7792
Sb 0.5000 0.5000 0.0000
Pb 0.5000 0.5000 0.5000